--- A ---
Density functional theory data (PBE) for CaLaMo2 after structural relaxation.

a = 10.8957 Å, b = 10.8957 Å, c = 10.8957 Å
α = 16.13°, β = 16.13°, γ = 16.13°
Last column: nearest neighbours and their distance in Å.
Sites, in units of the cell vectors:
Ca: 0.0000 0.0000 0.0000  6 Ca 3.06, 6 Mo 3.16
La: 0.5000 0.5000 0.5000  6 La 3.06, 6 Mo 3.27
Mo: 0.2521 0.2521 0.2521  6 Mo 3.06, 3 Ca 3.16, 3 La 3.27
Mo: 0.7479 0.7479 0.7479  6 Mo 3.06, 3 Ca 3.16, 3 La 3.27

V, A^3/atom: 21.76

---

--- B ---
Density functional theory data (PBE) for CaLaMo2 after structural relaxation.

a = 5.0434 Å, b = 5.0434 Å, c = 3.6880 Å
α = 90.00°, β = 90.00°, γ = 90.00°
Last column: nearest neighbours and their distance in Å.
Sites, in units of the cell vectors:
Ca: 0.0000 0.0000 0.0000  8 Mo 3.12
La: 0.5000 0.5000 0.0000  8 Mo 3.12
Mo: 0.0000 0.5000 0.5000  4 La 3.12, 4 Ca 3.12
Mo: 0.5000 0.0000 0.5000  4 La 3.12, 4 Ca 3.12

V, A^3/atom: 23.45

---

Top of the stability list: A, leading by 0.009 eV/atom.

---

--- A ---
Density functional theory data (PBE) for CaLaMo2 after structural relaxation.

a = 3.1641 Å, b = 3.1641 Å, c = 10.4813 Å
α = 90.00°, β = 90.00°, γ = 113.74°
Last column: nearest neighbours and their distance in Å.
Sites, in units of the cell vectors:
Ca: 0.0000 0.0000 0.0000  2 Mo 3.10, 6 Ca 3.16-3.46
La: 0.5000 0.5000 0.6587  2 Mo 3.08, 4 La 3.16
Mo: 0.0000 0.0000 0.4153  2 Mo 2.48
Mo: 0.5000 0.5000 0.2453  2 Mo 2.48

V, A^3/atom: 24.01

---

--- B ---
Density functional theory data (PBE) for CaLaMo2 after structural relaxation.

a = 3.1314 Å, b = 5.0612 Å, c = 6.5219 Å
α = 90.00°, β = 101.22°, γ = 90.00°
Last column: nearest neighbours and their distance in Å.
Sites, in units of the cell vectors:
Ca: 0.0000 0.0000 0.0000  2 Ca 3.13, 2 La 3.26
La: 0.0000 0.0000 0.5000  4 Mo 2.98, 2 La 3.13, 2 Ca 3.26
Mo: 0.4309 0.5000 0.6725  1 Mo 2.37
Mo: 0.5691 0.5000 0.3275  1 Mo 2.37

V, A^3/atom: 25.35

---

--- C ---
Density functional theory data (PBE) for CaLaMo2 after structural relaxation.

a = 5.9359 Å, b = 5.9359 Å, c = 2.8512 Å
α = 90.24°, β = 90.24°, γ = 120.58°
Last column: nearest neighbours and their distance in Å.
Sites, in units of the cell vectors:
Ca: 0.0000 0.0000 0.0000  2 Ca 2.85, 2 La 2.94
La: 0.5000 0.5000 0.0000  2 La 2.85, 2 Ca 2.94
Mo: 0.0000 0.5000 0.5000  4 Mo 2.85-2.94
Mo: 0.5000 0.0000 0.5000  4 Mo 2.85-2.94

V, A^3/atom: 21.62

---

--- D ---
Density functional theory data (PBE) for CaLaMo2 after structural relaxation.

a = 5.0854 Å, b = 5.0854 Å, c = 5.0854 Å
α = 60.00°, β = 60.00°, γ = 60.00°
Last column: nearest neighbours and their distance in Å.
Sites, in units of the cell vectors:
Ca: 0.0000 0.0000 0.0000  8 Mo 3.11
La: 0.5000 0.5000 0.5000  8 Mo 3.11
Mo: 0.2500 0.2500 0.2500  4 La 3.11, 4 Ca 3.11
Mo: 0.7500 0.7500 0.7500  4 La 3.11, 4 Ca 3.11

V, A^3/atom: 23.25

---

Top of the stability list: A, leading by 0.245 eV/atom.

---

--- A ---
Density functional theory data (PBE) for CaLaMo2 after structural relaxation.

a = 4.9452 Å, b = 4.9452 Å, c = 4.9452 Å
α = 118.63°, β = 118.63°, γ = 92.39°
Last column: nearest neighbours and their distance in Å.
Sites, in units of the cell vectors:
Ca: 0.0000 0.0000 0.0000  4 La 3.05, 4 Mo 3.05
La: 0.7500 0.2500 0.5000  4 Mo 3.05, 4 Ca 3.05
Mo: 0.2500 0.7500 0.5000  4 Mo 3.05, 4 Ca 3.05
Mo: 0.5000 0.5000 0.0000  4 La 3.05, 4 Mo 3.05

V, A^3/atom: 21.80

---

--- B ---
Density functional theory data (PBE) for CaLaMo2 after structural relaxation.

a = 4.0094 Å, b = 4.0094 Å, c = 6.5567 Å
α = 90.00°, β = 90.00°, γ = 90.00°
Last column: nearest neighbours and their distance in Å.
Sites, in units of the cell vectors:
Ca: 0.0000 0.0000 0.0000  2 La 3.28, 8 Mo 3.55
La: 0.0000 0.0000 0.5000  8 Mo 3.06, 2 Ca 3.28
Mo: 0.5000 0.5000 0.3248  1 Mo 2.30
Mo: 0.5000 0.5000 0.6752  1 Mo 2.30

V, A^3/atom: 26.35

---

--- C ---
Density functional theory data (PBE) for CaLaMo2 after structural relaxation.

a = 5.8411 Å, b = 5.8411 Å, c = 5.8411 Å
α = 138.32°, β = 138.32°, γ = 60.42°
Last column: nearest neighbours and their distance in Å.
Sites, in units of the cell vectors:
Ca: 0.0000 0.0000 0.0000  4 La 2.94, 8 Mo 3.27
La: 0.5000 0.5000 0.0000  4 Ca 2.94, 8 Mo 3.27
Mo: 0.2500 0.7500 0.5000  4 Mo 2.94, 4 La 3.27, 4 Ca 3.27
Mo: 0.7500 0.2500 0.5000  4 Mo 2.94, 4 La 3.27, 4 Ca 3.27

V, A^3/atom: 21.80

---

Top of the stability list: A, leading by 0.021 eV/atom.

---

--- A ---
Density functional theory data (PBE) for CaLaMo2 after structural relaxation.

a = 6.2008 Å, b = 6.2008 Å, c = 6.2008 Å
α = 146.95°, β = 129.31°, γ = 61.85°
Last column: nearest neighbours and their distance in Å.
Sites, in units of the cell vectors:
Ca: 0.0000 0.0000 0.0000  8 Mo 3.26-3.53, 4 La 3.48-3.53, 2 Ca 3.53
La: 0.2819 0.7819 0.5000  8 Mo 3.26-3.54, 4 Ca 3.48-3.53, 2 La 3.53
Mo: 0.5625 0.5625 0.0000  2 Mo 2.43
Mo: 0.7193 0.2193 0.5000  2 Mo 2.43

V, A^3/atom: 24.90

---

--- B ---
Density functional theory data (PBE) for CaLaMo2 after structural relaxation.

a = 5.2461 Å, b = 5.2461 Å, c = 6.2317 Å
α = 90.14°, β = 90.14°, γ = 31.98°
Last column: nearest neighbours and their distance in Å.
Sites, in units of the cell vectors:
Ca: 0.0000 0.0000 0.0000  2 Ca 2.89, 2 Mo 3.16
La: 0.5000 0.5000 0.5000  2 Mo 2.79, 2 La 2.89
Mo: 0.2547 0.2547 0.7066  1 La 2.79, 4 Mo 2.89-2.95
Mo: 0.7453 0.7453 0.2934  1 La 2.79, 4 Mo 2.89-2.95

V, A^3/atom: 22.71

---

--- C ---
Density functional theory data (PBE) for CaLaMo2 after structural relaxation.

a = 4.3867 Å, b = 4.3867 Å, c = 8.0591 Å
α = 93.65°, β = 93.65°, γ = 44.35°
Last column: nearest neighbours and their distance in Å.
Sites, in units of the cell vectors:
Ca: 0.0000 0.0000 0.0000  3 Mo 2.94-3.18
La: 0.2226 0.2226 0.6014  3 Mo 2.88-3.18
Mo: 0.4703 0.4703 0.3627  3 Mo 2.51-2.58
Mo: 0.7481 0.7481 0.2443  3 Mo 2.51-2.58

V, A^3/atom: 27.04

---

Top of the stability list: A, leading by 0.062 eV/atom.

---

--- A ---
Density functional theory data (PBE) for CaLaMo2 after structural relaxation.

a = 6.3875 Å, b = 6.3875 Å, c = 6.3875 Å
α = 101.56°, β = 101.56°, γ = 126.81°
Last column: nearest neighbours and their distance in Å.
Sites, in units of the cell vectors:
Ca: 0.0000 0.0000 0.0000  2 La 2.86, 4 Mo 2.95
Ca: 0.7500 0.2500 0.5000  2 La 2.86, 4 Mo 2.95
La: 0.2500 0.7500 0.5000  2 Ca 2.86, 4 Mo 2.94
La: 0.5000 0.5000 0.0000  2 Ca 2.86, 4 Mo 2.94
Mo: 0.1259 0.6250 0.0009  2 Mo 2.86, 2 La 2.94, 2 Ca 2.95
Mo: 0.3750 0.3759 0.5009  2 Mo 2.86, 2 La 2.94, 2 Ca 2.95
Mo: 0.6241 0.1250 0.9991  2 Mo 2.86, 2 La 2.94, 2 Ca 2.95
Mo: 0.8750 0.8741 0.4991  2 Mo 2.86, 2 La 2.94, 2 Ca 2.95

V, A^3/atom: 23.32

---

--- B ---
Density functional theory data (PBE) for CaLaMo2 after structural relaxation.

a = 3.3264 Å, b = 3.3264 Å, c = 9.0500 Å
α = 90.00°, β = 90.00°, γ = 90.00°
Last column: nearest neighbours and their distance in Å.
Sites, in units of the cell vectors:
Ca: 0.0000 0.0000 0.0000  5 Mo 3.22-3.42, 4 Ca 3.33
La: 0.5000 0.5000 0.3778  5 Mo 3.23-3.43, 4 La 3.33
Mo: 0.0000 0.0000 0.6226  4 Mo 2.65
Mo: 0.5000 0.5000 0.7567  4 Mo 2.65

V, A^3/atom: 25.03

---

Top of the stability list: B, leading by 0.984 eV/atom.

---

--- A ---
Density functional theory data (PBE) for CaLa2Mo2 after structural relaxation.

a = 9.2214 Å, b = 9.2214 Å, c = 3.0084 Å
α = 90.00°, β = 90.00°, γ = 90.00°
Last column: nearest neighbours and their distance in Å.
Sites, in units of the cell vectors:
Ca: 0.0000 0.0000 0.0000  2 Ca 3.01
Ca: 0.5000 0.5000 0.0000  2 Ca 3.01
La: 0.1394 0.3606 0.0000  6 Mo 2.94-3.21, 2 La 3.01
La: 0.3606 0.8606 0.0000  6 Mo 2.94-3.21, 2 La 3.01
La: 0.6394 0.1394 0.0000  6 Mo 2.94-3.21, 2 La 3.01
La: 0.8606 0.6394 0.0000  6 Mo 2.94-3.21, 2 La 3.01
Mo: 0.1666 0.6666 0.5000  6 La 2.94-3.21, 2 Mo 3.01
Mo: 0.3334 0.1666 0.5000  6 La 2.94-3.21, 2 Mo 3.01
Mo: 0.6666 0.8334 0.5000  6 La 2.94-3.21, 2 Mo 3.01
Mo: 0.8334 0.3334 0.5000  6 La 2.94-3.21, 2 Mo 3.01

V, A^3/atom: 25.58

---

--- B ---
Density functional theory data (PBE) for CaLa2Mo2 after structural relaxation.

a = 11.7278 Å, b = 11.7278 Å, c = 11.7278 Å
α = 161.86°, β = 161.86°, γ = 25.76°
Last column: nearest neighbours and their distance in Å.
Sites, in units of the cell vectors:
Ca: 0.0000 0.0000 0.0000  4 Ca 3.70, 8 La 4.09
La: 0.3626 0.3626 0.0000  4 Mo 3.17
La: 0.6374 0.6374 0.0000  4 Mo 3.17
Mo: 0.2500 0.7500 0.5000  4 Mo 2.61
Mo: 0.7500 0.2500 0.5000  4 Mo 2.61

V, A^3/atom: 31.26

---

Top of the stability list: B, leading by 0.271 eV/atom.